[1]
Here is a relaxed structure of K2ReMoC from Alexandria. Energies are from GGA-PBEsol.

Computed properties:
Its crystal system is tetragonal.

Lattice parameters (Å, degrees): 6.418 6.418 4.529 90.00 90.00 90.00
Atoms (fractional coordinates):
K (0.000, 0.500, 0.000)
K (0.500, 0.000, 0.000)
Re (0.000, 0.000, 0.500)
Mo (0.000, 0.000, 0.000)
C (0.500, 0.500, 0.500)



[2]
Here is a relaxed structure of KTl2MoC from Alexandria. Energies are from GGA-PBEsol.

Computed properties:
Its crystal system is tetragonal.

Lattice parameters (Å, degrees): 5.301 5.301 6.535 90.00 90.00 90.00
Atoms (fractional coordinates):
K (0.000, 0.000, 0.000)
Tl (0.000, 0.500, 0.500)
Tl (0.500, 0.000, 0.500)
Mo (0.000, 0.000, 0.500)
C (0.500, 0.500, 0.000)



The E_tot results, record by record, are as follows: -22.822, -16.796 eV/f.u..
The energy of formation from the pure elements results, record by record, are as follows: 2838, 2202 meV/atom.
The total moment results, record by record, are as follows: 3.0, 5.2 μB per formula unit.